14
Lattice="5.8128 0.0000 0.0000 -2.9064 5.0340 0.0000 0.0000 0.0000 8.1104" Properties=species:S:1:pos:R:3 comment="Rb3MnAs2O8 | the Alexandria database | GGA+U | optimized geometry" final_energy_ev_per_cell=-80.618 crystal_system=trigonal sg="P-3m1 (164)" pbc="T T T"
Rb 0.0000 0.0000 0.0000
Rb 0.0000 3.3560 5.9451
Rb 2.9064 1.6780 2.1653
Mn 0.0000 0.0000 4.0552
As 0.0000 3.3560 2.2936
As 2.9064 1.6780 5.8168
O 0.0000 1.6953 2.7950
O -1.4382 4.1863 2.7950
O 0.0000 3.3560 0.5942
O 1.4682 0.8477 5.3154
O 1.4382 4.1863 2.7950
O 2.9064 1.6780 7.5162
O 4.3446 0.8477 5.3154
O 2.9064 3.3387 5.3154